No. 1
Computed, not measured: an optimized crystal structure of CdMo2Au at the PBE-GGA level of DFT.

Formation enthalpy at 0 K   0.269 eV/atom
SG   P4mm, No. 99
DOS(E_F)   1.6 states/eV/f.u.

```
CdMo2Au
1.0
2.7500 0.0000 0.0000
0.0000 2.7500 0.0000
0.0000 0.0000 9.1607
Cd Mo Au
1 2 1
Direct
0.0000 0.0000 0.0000
0.0000 0.0000 0.5017
0.5000 0.5000 0.2549
0.5000 0.5000 0.7375
```

***

No. 2
Computed, not measured: an optimized crystal structure of La4GaAuI2 at the PBE-GGA level of DFT.

SG   P2/m, No. 10
DOS(E_F)   9.8 states/eV/f.u.
Calculated total energy   -35.973 eV/cell

```
La4GaAuI2
1.0
7.9111 0.0000 0.0000
0.0000 4.4328 0.0000
-2.5003 0.0000 7.6460
La Ga Au I
4 1 1 2
Direct
0.2360 0.0000 0.2181
0.2615 0.5000 0.7881
0.7385 0.5000 0.2119
0.7640 0.0000 0.7819
0.0000 0.5000 0.0000
0.5000 0.0000 0.0000
0.0000 0.0000 0.5000
0.5000 0.5000 0.5000
```

***

No. 3
Computed, not measured: an optimized crystal structure of CaRe2NiSb at the PBE-GGA level of DFT.

SG   P4/mmm, No. 123
DOS(E_F)   6.5 states/eV/f.u.
Calculated total energy   -29.499 eV/cell

```
CaRe2NiSb
1.0
4.9872 0.0000 0.0000
0.0000 4.9872 0.0000
0.0000 0.0000 4.6793
Ca Re Ni Sb
1 2 1 1
Direct
0.0000 0.0000 0.0000
0.0000 0.5000 0.5000
0.5000 0.0000 0.5000
0.5000 0.5000 0.0000
0.5000 0.5000 0.5000
```

***

No. 4
Computed, not measured: an optimized crystal structure of NdSi3OsRh at the PBE-GGA level of DFT.

SG   Cmcm, No. 63
DOS(E_F)   3.4 states/eV/f.u.
Calculated total energy   -84.643 eV/cell

```
NdSi3OsRh
1.0
3.1730 -6.3463 0.0000
3.1730 6.3463 0.0000
0.0000 0.0000 5.7848
Nd Si Os Rh
2 6 2 2
Direct
0.2140 0.7860 0.7500
0.7860 0.2140 0.2500
0.2133 0.7867 0.2500
0.2987 0.2987 0.0000
0.2987 0.2987 0.5000
0.7013 0.7013 0.0000
0.7013 0.7013 0.5000
0.7867 0.2133 0.7500
0.0359 0.9641 0.2500
0.9641 0.0359 0.7500
0.3881 0.6119 0.2500
0.6119 0.3881 0.7500
```

***

No. 5
Computed, not measured: an optimized crystal structure of Cs4Y3USe8 at the PBE-GGA level of DFT.

SG   R-3m, No. 166
DOS(E_F)   9.9 states/eV/f.u.
Calculated total energy   -87.414 eV/cell

```
Cs4Y3USe8
1.0
4.2830 2.4728 8.3833
-4.2830 2.4728 8.3833
0.0000 -4.9455 8.3833
Cs Y U Se
4 3 1 8
Direct
0.0000 0.0000 0.0000
0.0000 0.5000 0.5000
0.5000 0.0000 0.5000
0.5000 0.5000 0.0000
0.0000 0.0000 0.5000
0.0000 0.5000 0.0000
0.5000 0.0000 0.0000
0.5000 0.5000 0.5000
0.2273 0.7295 0.7295
0.2286 0.2286 0.2286
0.2705 0.2705 0.7727
0.2705 0.7727 0.2705
0.7295 0.2273 0.7295
0.7295 0.7295 0.2273
0.7714 0.7714 0.7714
0.7727 0.2705 0.2705
```

***

No. 6
Computed, not measured: an optimized crystal structure of KAuSeBr2 at the PBE-GGA level of DFT.

SG   P4/mmm, No. 123
Distance to the lowest polymorph of the same formula   0.976 eV/atom
DOS(E_F)   5.1 states/eV/f.u.

```
KAuSeBr2
1.0
6.0290 0.0000 0.0000
0.0000 6.0290 0.0000
0.0000 0.0000 6.0286
K Au Se Br
1 1 1 2
Direct
0.0000 0.0000 0.0000
0.5000 0.5000 0.5000
0.0000 0.0000 0.5000
0.0000 0.5000 0.0000
0.5000 0.0000 0.0000
```